Compound: Ac2I2NCl
Source: Alexandria
Functional: GGA-PBE
Structure: relaxed

a b c (Å): 7.1319 6.4970 9.5710
angles (deg): 109.84 111.87 90.00
Last column: nearest neighbours and their distance in Å.
Atoms (fractional coordinates):
I: 0.5473 0.8158 0.6317  3 Ac 3.39-3.68
I: 0.9156 0.6842 0.3683  3 Ac 3.39-3.68
Ac: 0.7619 0.0815 0.1630  2 N 2.47
Ac: 0.2381 0.9185 0.8370  2 N 2.47
Ac: 0.4011 0.5815 0.1630  2 N 2.47
I: 0.4527 0.1842 0.3683  3 Ac 3.39-3.68
Cl: 0.0000 0.7500 0.0000  4 Ac 3.11, 2 Cl 3.25
I: 0.0844 0.3158 0.6317  3 Ac 3.39-3.68
N: 0.5000 0.7500 0.0000  4 Ac 2.47
Ac: 0.5989 0.4185 0.8370  2 N 2.47
Cl: 0.0000 0.2500 0.0000  4 Ac 3.11, 2 Cl 3.25
N: 0.5000 0.2500 0.0000  4 Ac 2.47

Properties
- E_tot: -5.3846 eV/atom